[1]
First-principles (PBE) data for crystalline NaGaAsBr2 at its relaxed geometry, as listed in Alexandria.

abc: 5.576 5.576 5.592
angles: 90.00 90.00 90.00
Positions (direct):
Na: 0.000 0.000 0.000
Ga: 0.500 0.500 0.500
As: 0.000 0.000 0.500
Br: 0.000 0.500 0.000
Br: 0.500 0.000 0.000

**Magnetization**: 3.0 Bohr magnetons per cell
**Fermi-level density of states**: 0.4 states/eV/f.u.
**SG**: P4/mmm (123)
**Total DFT energy (no corrections)**: -2.46 eV per atom

***

[2]
First-principles (PBE) data for crystalline SrAs2Ir2 at its relaxed geometry, as listed in Alexandria.

abc: 9.681 4.114 10.335
angles: 90.00 90.00 90.00
Positions (direct):
Sr: 0.248 0.250 0.160
Sr: 0.252 0.750 0.660
Sr: 0.748 0.250 0.340
Sr: 0.752 0.750 0.840
As: 0.035 0.250 0.830
As: 0.161 0.250 0.437
As: 0.339 0.750 0.937
As: 0.465 0.750 0.330
As: 0.535 0.250 0.670
As: 0.661 0.250 0.063
As: 0.839 0.750 0.563
As: 0.965 0.750 0.170
Ir: 0.026 0.750 0.400
Ir: 0.088 0.750 0.955
Ir: 0.412 0.250 0.455
Ir: 0.474 0.250 0.900
Ir: 0.526 0.750 0.100
Ir: 0.588 0.750 0.545
Ir: 0.912 0.250 0.045
Ir: 0.974 0.250 0.600

**Magnetization**: 0.0 Bohr magnetons per cell
**Formation energy from the elements**: -0.6137 eV per atom
**Fermi-level density of states**: 2.6 states/eV/f.u.
**SG**: Pnma (62)
**Total DFT energy (no corrections)**: -6.35 eV per atom

***

[3]
First-principles (PBE) data for crystalline CsMg2AgI6 at its relaxed geometry, as listed in Alexandria.

abc: 11.296 11.296 8.488
angles: 103.76 103.76 92.67
Positions (direct):
Cs: 0.126 0.874 0.750
Cs: 0.874 0.126 0.250
Mg: 0.241 0.386 0.825
Mg: 0.386 0.241 0.325
Mg: 0.614 0.759 0.675
Mg: 0.759 0.614 0.175
Ag: 0.212 0.788 0.250
Ag: 0.788 0.212 0.750
I: 0.046 0.204 0.712
I: 0.156 0.604 0.946
I: 0.204 0.046 0.212
I: 0.309 0.426 0.542
I: 0.396 0.844 0.554
I: 0.426 0.309 0.042
I: 0.574 0.691 0.958
I: 0.604 0.156 0.446
I: 0.691 0.574 0.458
I: 0.796 0.954 0.788
I: 0.844 0.396 0.054
I: 0.954 0.796 0.288

**Magnetization**: 0.0 Bohr magnetons per cell
**Fermi-level density of states**: 0.0 states/eV/f.u.
**SG**: C2/c (15)
**Total DFT energy (no corrections)**: -2.56 eV per atom